1.
Compound: MnH2
Source: the Alexandria database
Functional: PBE-GGA
Structure: relaxed

extended XYZ file:
```
9
Lattice="2.6915 0.0000 0.0000 -1.3458 2.3309 0.0000 0.0000 0.0000 10.6883" Properties=species:S:1:pos:R:3 pbc="T T T"
Mn 0.0000 0.0000 0.0000
Mn 0.0000 1.5540 7.1255
Mn 1.3458 0.7770 3.5627
H 0.0000 0.0000 4.3734
H 0.0000 0.0000 6.3149
H 0.0000 1.5540 0.8106
H 0.0000 1.5540 2.7521
H 1.3458 0.7770 7.9361
H 1.3458 0.7770 9.8776
```

Size of the total moment (Bohr magnetons per cell): 8.44
DFT total energy (eV/cell): -46.73

2.
Compound: NpIrS2
Source: the Alexandria database
Functional: PBE-GGA
Structure: relaxed

extended XYZ file:
```
12
Lattice="3.5451 0.0000 0.0000 -1.7725 3.0701 0.0000 0.0000 0.0000 23.9753" Properties=species:S:1:pos:R:3 pbc="T T T"
Np 0.0000 0.0000 0.0000
Np 0.0000 2.0467 15.9835
Np 1.7725 1.0234 7.9918
Ir 0.0000 0.0000 11.9876
Ir 0.0000 2.0467 3.9959
Ir 1.7725 1.0234 19.9794
S 0.0000 0.0000 2.7830
S 0.0000 0.0000 21.1923
S 0.0000 2.0467 13.2005
S 0.0000 2.0467 18.7665
S 1.7725 1.0234 5.2088
S 1.7725 1.0234 10.7747
```

Uncorrected formation energy (meV per atom): -107
Size of the total moment (Bohr magnetons per cell): 14.09

3.
Compound: Sr2CaInRh
Source: the Alexandria database
Functional: PBE-GGA
Structure: relaxed

extended XYZ file:
```
5
Lattice="5.7909 0.0000 0.0000 0.0000 5.7909 0.0000 0.0000 0.0000 5.4530" Properties=species:S:1:pos:R:3 pbc="T T T"
Sr 0.0000 2.8954 0.0000
Sr 2.8954 0.0000 0.0000
Ca 0.0000 0.0000 2.7265
In 2.8954 2.8954 2.7265
Rh 0.0000 0.0000 0.0000
```

Size of the total moment (Bohr magnetons per cell): 0.00
DFT total energy (eV/cell): -16.44

4.
Compound: ReSbIr2
Source: the Alexandria database
Functional: PBE-GGA
Structure: relaxed

extended XYZ file:
```
16
Lattice="5.8055 0.0000 0.0000 0.0000 5.8055 0.0000 0.0000 0.0000 11.3745" Properties=species:S:1:pos:R:3 pbc="T T T"
Re 0.0000 0.0000 0.0000
Re 0.0000 2.9028 2.8436
Re 2.9028 0.0000 8.5308
Re 2.9028 2.9028 5.6872
Sb 0.0000 0.0000 5.6872
Sb 0.0000 2.9028 8.5308
Sb 2.9028 0.0000 2.8436
Sb 2.9028 2.9028 0.0000
Ir 1.2881 1.4514 1.4218
Ir 1.4514 4.1908 4.2654
Ir 1.4514 4.5174 9.9527
Ir 1.6147 1.4514 7.1090
Ir 4.1908 4.3541 7.1090
Ir 4.3541 1.2881 9.9527
Ir 4.3541 1.6147 4.2654
Ir 4.5174 4.3541 1.4218
```

Uncorrected formation energy (meV per atom): 631
Size of the total moment (Bohr magnetons per cell): 0.00